# 1
# PBE-GGA Er2BPt5, optimized geometry
# ΔE_f = -1.00 eV/atom
# calculated total energy = -53.97 eV for the cell shown
# DOS at the Fermi energy = 0.2668 states/eV/atom
# total magnetization = 0.000 μB/f.u.
# theoretical density = 15.078 g/cm³
# crystal system = monoclinic
# space-group type = No. 8
data_Er2BPt5
_chemical_formula_sum 'Er2 B1 Pt5'
_space_group_name_H-M_alt 'P 1'
_space_group_IT_number 1
_space_group_name_Hall 'P 1'
_cell_length_a 5.815
_cell_length_b 5.815
_cell_length_c 5.776
_cell_angle_alpha 115.83
_cell_angle_beta 115.83
_cell_angle_gamma 59.41
loop_
_atom_site_label
_atom_site_type_symbol
_atom_site_fract_x
_atom_site_fract_y
_atom_site_fract_z
Er1 Er 0.000 0.000 0.000
Er2 Er 0.500 0.500 0.471
B1 B 0.719 0.719 0.218
Pt1 Pt 0.011 0.498 0.498
Pt2 Pt 0.476 0.476 0.947
Pt3 Pt 0.489 0.998 0.976
Pt4 Pt 0.498 0.011 0.498
Pt5 Pt 0.998 0.489 0.976

=====

# 2
# PBE-GGA DyY2TmBi5, optimized geometry
# ΔE_f = -0.02 eV/atom
# calculated total energy = -41.55 eV for the cell shown
# DOS at the Fermi energy = 0.6776 states/eV/atom
# total magnetization = 0.000 μB/f.u.
# theoretical density = 7.552 g/cm³
# crystal system = tetragonal
# space-group type = No. 123
data_DyY2TmBi5
_chemical_formula_sum 'Dy1 Y2 Tm1 Bi5'
_space_group_name_H-M_alt 'P 1'
_space_group_IT_number 1
_space_group_name_Hall 'P 1'
_cell_length_a 5.366
_cell_length_b 5.366
_cell_length_c 11.870
_cell_angle_alpha 90.00
_cell_angle_beta 90.00
_cell_angle_gamma 90.00
loop_
_atom_site_label
_atom_site_type_symbol
_atom_site_fract_x
_atom_site_fract_y
_atom_site_fract_z
Dy1 Dy 0.000 0.000 0.000
Y1 Y 0.500 0.500 0.267
Y2 Y 0.500 0.500 0.733
Tm1 Tm 0.000 0.000 0.500
Bi1 Bi 0.000 0.000 0.247
Bi2 Bi 0.000 0.000 0.753
Bi3 Bi 0.000 0.500 0.500
Bi4 Bi 0.500 0.000 0.500
Bi5 Bi 0.500 0.500 0.000

=====

# 3
# PBE-GGA Tl2IrRhO6, optimized geometry
# calculated total energy = -55.53 eV for the cell shown
# DOS at the Fermi energy = 0.7110 states/eV/atom
# total magnetization = 0.000 μB/f.u.
# E_form (uncorrected) = -0.484 eV per atom
# theoretical density = 10.246 g/cm³
# crystal system = tetragonal
# space-group type = No. 99
data_Tl2IrRhO6
_chemical_formula_sum 'Tl2 Ir1 Rh1 O6'
_space_group_name_H-M_alt 'P 1'
_space_group_IT_number 1
_space_group_name_Hall 'P 1'
_cell_length_a 5.706
_cell_length_b 5.706
_cell_length_c 3.982
_cell_angle_alpha 90.00
_cell_angle_beta 90.00
_cell_angle_gamma 90.00
loop_
_atom_site_label
_atom_site_type_symbol
_atom_site_fract_x
_atom_site_fract_y
_atom_site_fract_z
Tl1 Tl 0.000 0.500 0.000
Tl2 Tl 0.500 0.000 0.000
Ir1 Ir 0.000 0.000 0.538
Rh1 Rh 0.500 0.500 0.534
O1 O 0.000 0.000 0.052
O2 O 0.245 0.245 0.594
O3 O 0.245 0.755 0.594
O4 O 0.500 0.500 0.045
O5 O 0.755 0.245 0.594
O6 O 0.755 0.755 0.594

=====

# 4
# PBE-GGA CsGa2Au, optimized geometry
# ΔE_f = -0.23 eV/atom
# calculated total energy = -22.20 eV for the cell shown
# DOS at the Fermi energy = 0.4737 states/eV/atom
# total magnetization = 0.000 μB/f.u.
# theoretical density = 6.288 g/cm³
# crystal system = orthorhombic
# space-group type = No. 59
data_CsGa2Au
_chemical_formula_sum 'Cs2 Ga4 Au2'
_space_group_name_H-M_alt 'P 1'
_space_group_IT_number 1
_space_group_name_Hall 'P 1'
_cell_length_a 4.419
_cell_length_b 7.719
_cell_length_c 7.267
_cell_angle_alpha 90.00
_cell_angle_beta 90.00
_cell_angle_gamma 90.00
loop_
_atom_site_label
_atom_site_type_symbol
_atom_site_fract_x
_atom_site_fract_y
_atom_site_fract_z
Cs1 Cs 0.250 0.250 0.094
Cs2 Cs 0.750 0.750 0.906
Ga1 Ga 0.250 0.060 0.606
Ga2 Ga 0.250 0.440 0.606
Ga3 Ga 0.750 0.560 0.394
Ga4 Ga 0.750 0.940 0.394
Au1 Au 0.250 0.750 0.434
Au2 Au 0.750 0.250 0.566

=====

# 5
# PBE-GGA LiZn2As, optimized geometry
# ΔE_f = -0.15 eV/atom
# calculated total energy = -9.71 eV for the cell shown
# DOS at the Fermi energy = 0.2781 states/eV/atom
# total magnetization = 0.000 μB/f.u.
# theoretical density = 5.364 g/cm³
# crystal system = monoclinic
# space-group type = No. 12
data_LiZn2As
_chemical_formula_sum 'Li1 Zn2 As1'
_space_group_name_H-M_alt 'P 1'
_space_group_IT_number 1
_space_group_name_Hall 'P 1'
_cell_length_a 5.992
_cell_length_b 5.992
_cell_length_c 2.669
_cell_angle_alpha 101.93
_cell_angle_beta 101.93
_cell_angle_gamma 128.60
loop_
_atom_site_label
_atom_site_type_symbol
_atom_site_fract_x
_atom_site_fract_y
_atom_site_fract_z
Li1 Li 0.000 0.000 0.000
Zn1 Zn 0.000 0.500 0.000
Zn2 Zn 0.500 0.000 0.000
As1 As 0.500 0.500 0.000

=====

# 6
# PBE-GGA LaYW2, optimized geometry
# ΔE_f = 1.01 eV/atom
# calculated total energy = -33.27 eV for the cell shown
# DOS at the Fermi energy = 2.3863 states/eV/atom
# total magnetization = 0.014 μB/f.u.
# theoretical density = 11.028 g/cm³
# E above lowest polymorph = 717 meV/atom
# crystal system = cubic
# space-group type = No. 225
data_LaYW2
_chemical_formula_sum 'La1 Y1 W2'
_space_group_name_H-M_alt 'P 1'
_space_group_IT_number 1
_space_group_name_Hall 'P 1'
_cell_length_a 5.024
_cell_length_b 5.024
_cell_length_c 5.024
_cell_angle_alpha 60.00
_cell_angle_beta 60.00
_cell_angle_gamma 60.00
loop_
_atom_site_label
_atom_site_type_symbol
_atom_site_fract_x
_atom_site_fract_y
_atom_site_fract_z
La1 La 0.000 0.000 0.000
Y1 Y 0.500 0.500 0.500
W1 W 0.250 0.250 0.250
W2 W 0.750 0.750 0.750

=====

# 7
# PBE-GGA Cs4KPb3Cl12, optimized geometry
# calculated total energy = -68.28 eV for the cell shown
# DOS at the Fermi energy = 0.2817 states/eV/atom
# total magnetization = 0.000 μB/f.u.
# E_form (uncorrected) = -1.524 eV per atom
# theoretical density = 3.609 g/cm³
# crystal system = cubic
# space-group type = No. 229
data_Cs4KPb3Cl12
_chemical_formula_sum 'Cs4 K1 Pb3 Cl12'
_space_group_name_H-M_alt 'P 1'
_space_group_IT_number 1
_space_group_name_Hall 'P 1'
_cell_length_a 9.889
_cell_length_b 9.889
_cell_length_c 9.889
_cell_angle_alpha 109.47
_cell_angle_beta 109.47
_cell_angle_gamma 109.47
loop_
_atom_site_label
_atom_site_type_symbol
_atom_site_fract_x
_atom_site_fract_y
_atom_site_fract_z
Cs1 Cs 0.000 0.000 0.500
Cs2 Cs 0.000 0.500 0.000
Cs3 Cs 0.500 0.000 0.000
Cs4 Cs 0.500 0.500 0.500
K1 K 0.000 0.000 0.000
Pb1 Pb 0.000 0.500 0.500
Pb2 Pb 0.500 0.000 0.500
Pb3 Pb 0.500 0.500 0.000
Cl1 Cl 0.000 0.260 0.260
Cl2 Cl 0.000 0.740 0.740
Cl3 Cl 0.250 0.500 0.750
Cl4 Cl 0.250 0.750 0.500
Cl5 Cl 0.260 0.000 0.260
Cl6 Cl 0.260 0.260 0.000
Cl7 Cl 0.500 0.250 0.750
Cl8 Cl 0.500 0.750 0.250
Cl9 Cl 0.740 0.000 0.740
Cl10 Cl 0.740 0.740 0.000
Cl11 Cl 0.750 0.250 0.500
Cl12 Cl 0.750 0.500 0.250

=====

# 8
# PBE-GGA Cd2Pd2Au, optimized geometry
# ΔE_f = -0.27 eV/atom
# calculated total energy = -33.66 eV for the cell shown
# DOS at the Fermi energy = 0.3034 states/eV/atom
# total magnetization = 0.000 μB/f.u.
# theoretical density = 11.724 g/cm³
# E above lowest polymorph = 21 meV/atom
# crystal system = orthorhombic
# space-group type = No. 36
data_Cd2Pd2Au
_chemical_formula_sum 'Cd4 Pd4 Au2'
_space_group_name_H-M_alt 'P 1'
_space_group_IT_number 1
_space_group_name_Hall 'P 1'
_cell_length_a 7.579
_cell_length_b 7.579
_cell_length_c 5.717
_cell_angle_alpha 90.00
_cell_angle_beta 90.00
_cell_angle_gamma 146.81
loop_
_atom_site_label
_atom_site_type_symbol
_atom_site_fract_x
_atom_site_fract_y
_atom_site_fract_z
Cd1 Cd 0.091 0.909 0.500
Cd2 Cd 0.300 0.700 0.726
Cd3 Cd 0.700 0.300 0.226
Cd4 Cd 0.909 0.091 0.000
Pd1 Pd 0.314 0.686 0.224
Pd2 Pd 0.493 0.507 0.754
Pd3 Pd 0.507 0.493 0.254
Pd4 Pd 0.686 0.314 0.724
Au1 Au 0.108 0.892 0.994
Au2 Au 0.892 0.108 0.494

=====

Which of these has the highest total magnetization?
LaYW2

=====

What did the sixth record say?
# PBE-GGA LaYW2, optimized geometry
# ΔE_f = 1.01 eV/atom
# calculated total energy = -33.27 eV for the cell shown
# DOS at the Fermi energy = 2.3863 states/eV/atom
# total magnetization = 0.014 μB/f.u.
# theoretical density = 11.028 g/cm³
# E above lowest polymorph = 717 meV/atom
# crystal system = cubic
# space-group type = No. 225
data_LaYW2
_chemical_formula_sum 'La1 Y1 W2'
_space_group_name_H-M_alt 'P 1'
_space_group_IT_number 1
_space_group_name_Hall 'P 1'
_cell_length_a 5.024
_cell_length_b 5.024
_cell_length_c 5.024
_cell_angle_alpha 60.00
_cell_angle_beta 60.00
_cell_angle_gamma 60.00
loop_
_atom_site_label
_atom_site_type_symbol
_atom_site_fract_x
_atom_site_fract_y
_atom_site_fract_z
La1 La 0.000 0.000 0.000
Y1 Y 0.500 0.500 0.500
W1 W 0.250 0.250 0.250
W2 W 0.750 0.750 0.750